[1]
The following is a DFT calculation (PBE) of a geometry-optimized Cd4Cu structure.

abc: 7.910 7.910 7.910
angles: 151.13 151.13 41.29
Fractional positions:
1 Cd 0.750 0.250 0.500
2 Cd 0.250 0.750 0.500
3 Cd 0.408 0.408 0.000
4 Cd 0.592 0.592 0.000
5 Cu 0.000 0.000 0.000

Values from the calculation:
Its density of states at the Fermi level is 2.15 states/eV per cell. The electronic total energy comes out at -6.2 eV for the cell shown. Its energy of formation from the pure elements is 0.31 eV per atom.


[2]
The following is a DFT calculation (PBE) of a geometry-optimized CdCu2 structure.

abc: 6.145 6.145 6.145
angles: 90.00 90.00 90.00
Fractional positions:
1 Cu 0.612 0.888 0.112
2 Cu 0.112 0.612 0.888
3 Cu 0.388 0.388 0.388
4 Cu 0.888 0.112 0.612
5 Cu 0.112 0.888 0.388
6 Cu 0.388 0.112 0.888
7 Cu 0.612 0.612 0.612
8 Cu 0.888 0.388 0.112
9 Cd 0.000 0.000 0.000
10 Cd 0.500 0.500 0.000
11 Cd 0.000 0.500 0.500
12 Cd 0.500 0.000 0.500

Values from the calculation:
Its density of states at the Fermi level is 2.58 states/eV per cell. The electronic total energy comes out at -28.8 eV for the cell shown. Its energy of formation from the pure elements is 0.63 eV per atom.


[3]
The following is a DFT calculation (PBE) of a geometry-optimized CdCu2 structure.

abc: 5.089 5.089 5.089
angles: 146.70 141.56 51.75
Fractional positions:
1 Cu 0.685 0.685 0.000
2 Cu 0.315 0.315 0.000
3 Cd 0.000 0.000 0.000

Values from the calculation:
Its density of states at the Fermi level is 0.69 states/eV per cell. The electronic total energy comes out at -8.9 eV for the cell shown. Its energy of formation from the pure elements is 0.06 eV per atom.


[4]
The following is a DFT calculation (PBE) of a geometry-optimized CdCu6 structure.

abc: 4.886 7.964 9.863
angles: 90.00 90.00 90.00
Fractional positions:
1 Cu 0.250 0.155 0.154
2 Cu 0.750 0.689 0.267
3 Cu 0.507 0.059 0.694
4 Cu 0.750 0.608 0.021
5 Cu 0.250 0.811 0.767
6 Cu 0.250 0.392 0.979
7 Cu 0.250 0.062 0.918
8 Cu 0.493 0.441 0.194
9 Cu 0.750 0.345 0.654
10 Cu 0.493 0.941 0.306
11 Cu 0.250 0.311 0.733
12 Cu 0.507 0.559 0.806
13 Cu 0.993 0.559 0.806
14 Cu 0.750 0.108 0.479
15 Cu 0.750 0.845 0.846
16 Cu 0.993 0.059 0.694
17 Cu 0.750 0.438 0.418
18 Cu 0.007 0.941 0.306
19 Cu 0.750 0.938 0.082
20 Cu 0.007 0.441 0.194
21 Cu 0.750 0.189 0.233
22 Cu 0.250 0.892 0.521
23 Cu 0.250 0.562 0.582
24 Cu 0.250 0.655 0.346
25 Cd 0.250 0.260 0.436
26 Cd 0.750 0.240 0.936
27 Cd 0.750 0.740 0.564
28 Cd 0.250 0.760 0.064

Values from the calculation:
Its density of states at the Fermi level is 12.46 states/eV per cell. The electronic total energy comes out at -99.0 eV for the cell shown. Its energy of formation from the pure elements is 0.11 eV per atom.